(1)
# GGA-PBE Cu5Tc, optimized geometry
data_Cu5Tc
_chemical_formula_sum 'Cu10 Tc2'
_cell_length_a 9.827
_cell_length_b 2.543
_cell_length_c 6.219
_cell_angle_alpha 90.00
_cell_angle_beta 105.08
_cell_angle_gamma 90.00
_symmetry_space_group_name_H-M 'C 1 m 1'
_symmetry_Int_Tables_number 8
_symmetry_space_group_name_Hall 'C -2y'
loop_
_atom_site_label
_atom_site_type_symbol
_atom_site_fract_x
_atom_site_fract_y
_atom_site_fract_z
Cu1 Cu 0.000 0.000 0.000
Cu2 Cu 0.055 0.000 0.624
Cu3 Cu 0.162 0.500 0.339
Cu4 Cu 0.219 0.500 0.948
Cu5 Cu 0.329 0.000 0.676
Tc1 Tc 0.386 0.000 0.285
# N(E_F) ... 0.85 states/eV/atom
# Theoretical density ... 9.2 Mg/m³
# ΔE to the lowest computed polymorph ... 0.00 eV/f.u.
# Formation enthalpy at 0 K ... 161.4 meV/atom



(2)
# GGA-PBE CuTc3, optimized geometry
data_CuTc3
_chemical_formula_sum 'Cu2 Tc6'
_cell_length_a 4.381
_cell_length_b 5.400
_cell_length_c 4.699
_cell_angle_alpha 90.00
_cell_angle_beta 90.00
_cell_angle_gamma 90.00
_symmetry_space_group_name_H-M 'P m m n'
_symmetry_Int_Tables_number 59
loop_
_symmetry_equiv_pos_as_xyz
'x,y,z'
'-x,-y,-z'
'-x+1/2,-y+1/2,z'
'x+1/2,y+1/2,-z'
'x+1/2,-y,-z'
'-x+1/2,y,z'
'-x,y+1/2,-z'
'x,-y+1/2,z'
loop_
_atom_site_label
_atom_site_type_symbol
_atom_site_fract_x
_atom_site_fract_y
_atom_site_fract_z
Cu1 Cu 0.250 0.250 0.167
Tc1 Tc 0.250 0.001 0.673
Tc2 Tc 0.250 0.750 0.161
# N(E_F) ... 0.93 states/eV/atom
# Theoretical density ... 10.7 Mg/m³
# ΔE to the lowest computed polymorph ... 0.00 eV/f.u.
# Formation enthalpy at 0 K ... 95.6 meV/atom